Material: BeZn2As
Method: DFT, PBE
State: optimized geometry

Lattice parameters (Å, degrees): 4.446 4.446 4.446 60.00 60.00 60.00
Positions (direct):
Be  0.000  0.000  0.000
Zn  0.250  0.250  0.250
Zn  0.500  0.500  0.500
As  0.750  0.750  0.750

DFT formation energy ... 0.44 eV per atom
Energy above the lowest structure with this stoichiometry ... 0.261 eV per atom

=====

Material: RbCu2IrCl8
Method: DFT, PBE
State: optimized geometry

Lattice parameters (Å, degrees): 6.087 6.949 8.229 75.31 82.81 88.19
Positions (direct):
Rb  0.000  0.000  0.000
Cu  0.487  0.519  0.809
Cu  0.513  0.481  0.191
Ir  0.000  0.500  0.500
Cl  0.106  0.500  0.766
Cl  0.175  0.806  0.381
Cl  0.327  0.329  0.441
Cl  0.494  0.249  0.031
Cl  0.506  0.751  0.969
Cl  0.673  0.671  0.559
Cl  0.825  0.194  0.619
Cl  0.894  0.500  0.234

Formation energy from raw total energies ... -731 meV/atom

=====

Material: Dy8Al2Hg
Method: DFT, PBE
State: optimized geometry

Lattice parameters (Å, degrees): 8.730 8.730 8.730 146.64 122.74 67.92
Positions (direct):
Dy  0.123  0.339  0.784
Dy  0.141  0.141  0.000
Dy  0.315  0.000  0.315
Dy  0.445  0.661  0.784
Dy  0.555  0.339  0.216
Dy  0.685  0.000  0.685
Dy  0.859  0.859  0.000
Dy  0.877  0.661  0.216
Al  0.306  0.806  0.500
Al  0.694  0.194  0.500
Hg  0.000  0.500  0.500

DFT formation energy ... -0.15 eV per atom
Energy above the lowest structure with this stoichiometry ... 0.035 eV per atom

=====

Material: Y3GeB2Rh9
Method: DFT, PBE
State: optimized geometry

Lattice parameters (Å, degrees): 6.096 6.096 7.548 90.00 90.00 120.00
Positions (direct):
Y  0.000  0.000  0.000
Y  0.333  0.667  0.664
Y  0.667  0.333  0.336
Ge  0.000  0.000  0.500
B  0.333  0.667  0.146
B  0.667  0.333  0.854
Rh  0.000  0.500  0.000
Rh  0.177  0.355  0.313
Rh  0.177  0.823  0.313
Rh  0.355  0.177  0.687
Rh  0.500  0.000  0.000
Rh  0.500  0.500  0.000
Rh  0.645  0.823  0.313
Rh  0.823  0.177  0.687
Rh  0.823  0.645  0.687

DFT formation energy ... -0.68 eV per atom

=====

Material: KBaTa2
Method: DFT, PBE
State: optimized geometry

Lattice parameters (Å, degrees): 12.806 12.806 12.806 161.31 161.31 26.56
Positions (direct):
K  0.000  0.000  0.000
K  0.750  0.250  0.500
Ba  0.250  0.750  0.500
Ba  0.500  0.500  0.000
Ta  0.126  0.625  0.001
Ta  0.375  0.376  0.501
Ta  0.624  0.125  0.999
Ta  0.875  0.874  0.499

DFT formation energy ... 1.60 eV per atom
Energy above the lowest structure with this stoichiometry ... 0.872 eV per atom

=====

Material: NaAl3Zn3
Method: DFT, PBE
State: optimized geometry

Lattice parameters (Å, degrees): 7.120 7.120 7.120 90.00 90.00 90.00
Positions (direct):
Na  0.000  0.000  0.000
Na  0.500  0.500  0.500
Al  0.000  0.250  0.500
Al  0.000  0.750  0.500
Al  0.250  0.500  0.000
Al  0.500  0.000  0.250
Al  0.500  0.000  0.750
Al  0.750  0.500  0.000
Zn  0.000  0.500  0.250
Zn  0.000  0.500  0.750
Zn  0.250  0.000  0.500
Zn  0.500  0.250  0.000
Zn  0.500  0.750  0.000
Zn  0.750  0.000  0.500

DFT formation energy ... 0.40 eV per atom
Energy above the lowest structure with this stoichiometry ... 0.345 eV per atom

=====

Material: SiSbAu
Method: DFT, PBE
State: optimized geometry

Lattice parameters (Å, degrees): 3.217 6.416 7.373 67.54 78.76 78.61
Positions (direct):
Si  0.139  0.134  0.087
Si  0.861  0.866  0.913
Sb  0.139  0.702  0.609
Sb  0.861  0.298  0.391
Au  0.291  0.707  0.200
Au  0.709  0.293  0.800

Formation energy from raw total energies ... 163 meV/atom
Energy above the lowest structure with this stoichiometry ... 0.045 eV per atom

=====

Material: Ag3Cl2
Method: DFT, PBE
State: optimized geometry

Lattice parameters (Å, degrees): 6.742 6.478 8.220 53.01 50.13 76.87
Positions (direct):
Ag  0.000  0.000  0.000
Ag  0.250  0.250  0.250
Ag  0.432  0.769  0.363
Ag  0.769  0.432  0.435
Ag  0.815  0.887  0.481
Ag  0.887  0.815  0.818
Cl  0.161  0.451  0.888
Cl  0.362  0.751  0.089
Cl  0.451  0.161  0.499
Cl  0.751  0.362  0.799

Formation energy from raw total energies ... -148 meV/atom
Energy above the lowest structure with this stoichiometry ... 0.071 eV per atom

=====

Material: ScInP
Method: DFT, PBE
State: optimized geometry

Lattice parameters (Å, degrees): 6.195 6.195 6.195 145.93 145.93 48.95
Positions (direct):
Sc  0.000  0.000  0.000
In  0.268  0.268  0.000
P  0.506  0.506  0.000

DFT formation energy ... -0.60 eV per atom
Energy above the lowest structure with this stoichiometry ... 0.000 eV per atom

=====

Material: CaYIn2
Method: DFT, PBE
State: optimized geometry

Lattice parameters (Å, degrees): 3.662 4.937 6.532 90.00 90.00 90.00
Positions (direct):
Ca  0.000  0.000  0.000
Y  0.500  0.500  0.673
In  0.000  0.000  0.498
In  0.500  0.500  0.189

DFT formation energy ... -0.23 eV per atom

=====

Material: LaRu2
Method: DFT, PBE
State: optimized geometry

Lattice parameters (Å, degrees): 6.788 6.788 4.682 90.00 90.00 120.00
Positions (direct):
La  0.000  0.000  0.000
La  0.333  0.667  0.500
La  0.667  0.333  0.500
Ru  0.000  0.229  0.500
Ru  0.000  0.473  0.000
Ru  0.229  0.000  0.500
Ru  0.473  0.000  0.000
Ru  0.527  0.527  0.000
Ru  0.771  0.771  0.500

DFT formation energy ... 0.62 eV per atom

=====

Number 1: spin magnetization 0.000 μB per cell. Number 2: spin magnetization 2.082 μB per cell. Number 3: spin magnetization 0.000 μB per cell. Number 4: spin magnetization 0.000 μB per cell. Number 5: spin magnetization 0.001 μB per cell. Number 6: spin magnetization 0.000 μB per cell. Number 7: spin magnetization 0.000 μB per cell. Number 8: spin magnetization 0.000 μB per cell. Number 9: spin magnetization 0.000 μB per cell. Number 10: spin magnetization 0.000 μB per cell. Number 11: spin magnetization 5.334 μB per cell.